Entry i
Material: HfCuHg3
Method: DFT, PBE
State: optimized geometry

```
data_HfCuHg3
_symmetry_space_group_name_H-M 'P m -3 m'
_symmetry_Int_Tables_number 221
_symmetry_space_group_name_Hall '-P 4 2 3'
_cell_length_a 5.5635
_cell_length_b 5.5635
_cell_length_c 5.5635
_cell_angle_alpha 90.00
_cell_angle_beta 90.00
_cell_angle_gamma 90.00
loop_
_atom_site_label
_atom_site_type_symbol
_atom_site_fract_x
_atom_site_fract_y
_atom_site_fract_z
Hf1 Hf 0.0000 0.0000 0.0000
Cu1 Cu 0.5000 0.5000 0.5000
Hg1 Hg 0.0000 0.0000 0.5000
```

=====

Entry ii
Material: HfCuHg3
Method: DFT, PBE
State: optimized geometry

```
data_HfCuHg3
_symmetry_space_group_name_H-M 'P m -3 m'
_symmetry_Int_Tables_number 221
_symmetry_space_group_name_Hall '-P 4 2 3'
_cell_length_a 4.8556
_cell_length_b 4.8556
_cell_length_c 4.8556
_cell_angle_alpha 90.00
_cell_angle_beta 90.00
_cell_angle_gamma 90.00
loop_
_atom_site_label
_atom_site_type_symbol
_atom_site_fract_x
_atom_site_fract_y
_atom_site_fract_z
Hf1 Hf 0.0000 0.0000 0.0000
Cu1 Cu 0.5000 0.5000 0.5000
Hg1 Hg 0.0000 0.5000 0.5000
```

=====

Energies relative to the most stable structure, in kJ/mol of atoms: entry i 36.5; entry ii 0.0.

=====

Entry i
Material: HoHfCu4
Method: DFT, PBE
State: optimized geometry

```
data_HoHfCu4
_symmetry_space_group_name_H-M 'P m m m'
_symmetry_Int_Tables_number 47
_cell_length_a 3.1393
_cell_length_b 4.2554
_cell_length_c 7.3983
_cell_angle_alpha 90.00
_cell_angle_beta 90.00
_cell_angle_gamma 90.00
loop_
_symmetry_equiv_pos_as_xyz
'x,y,z'
'-x,-y,-z'
'-x,-y,z'
'x,y,-z'
'x,-y,-z'
'-x,y,z'
'-x,y,-z'
'x,-y,z'
loop_
_atom_site_label
_atom_site_type_symbol
_atom_site_fract_x
_atom_site_fract_y
_atom_site_fract_z
Ho1 Ho 0.0000 0.0000 0.0000
Hf1 Hf 0.0000 0.5000 0.5000
Cu1 Cu 0.5000 0.0000 0.3389
Cu2 Cu 0.5000 0.5000 0.1732
```

=====

Entry ii
Material: HoHfCu4
Method: DFT, PBE
State: optimized geometry

```
data_HoHfCu4
_symmetry_space_group_name_H-M 'F -4 3 m'
_symmetry_Int_Tables_number 216
_symmetry_space_group_name_Hall 'F -4 2 3'
_cell_length_a 7.2522
_cell_length_b 7.2522
_cell_length_c 7.2522
_cell_angle_alpha 90.00
_cell_angle_beta 90.00
_cell_angle_gamma 90.00
loop_
_atom_site_label
_atom_site_type_symbol
_atom_site_fract_x
_atom_site_fract_y
_atom_site_fract_z
Ho1 Ho 0.0000 0.0000 0.0000
Hf1 Hf 0.2500 0.2500 0.7500
Cu1 Cu 0.1244 0.1244 0.3756
```

=====

Energies relative to the most stable structure, in kJ/mol of atoms: entry i 0.0; entry ii 7.3.

=====

Entry i
Material: Ho2HfCu
Method: DFT, PBE
State: optimized geometry

```
data_Ho2HfCu
_symmetry_space_group_name_H-M 'P 4/m m m'
_symmetry_Int_Tables_number 123
_symmetry_space_group_name_Hall '-P 4 2'
_cell_length_a 3.3518
_cell_length_b 3.3518
_cell_length_c 8.2870
_cell_angle_alpha 90.00
_cell_angle_beta 90.00
_cell_angle_gamma 90.00
loop_
_atom_site_label
_atom_site_type_symbol
_atom_site_fract_x
_atom_site_fract_y
_atom_site_fract_z
Ho1 Ho 0.0000 0.0000 0.2203
Hf1 Hf 0.5000 0.5000 0.5000
Cu1 Cu 0.5000 0.5000 0.0000
```

=====

Entry ii
Material: Ho2HfCu
Method: DFT, PBE
State: optimized geometry

```
data_Ho2HfCu
_symmetry_space_group_name_H-M 'R -3 m'
_symmetry_Int_Tables_number 166
_symmetry_space_group_name_Hall '-R 3 2"'
_cell_length_a 3.1978
_cell_length_b 3.1978
_cell_length_c 32.8110
_cell_angle_alpha 90.00
_cell_angle_beta 90.00
_cell_angle_gamma 120.00
loop_
_atom_site_label
_atom_site_type_symbol
_atom_site_fract_x
_atom_site_fract_y
_atom_site_fract_z
Ho1 Ho 0.0000 0.0000 0.0975
Hf1 Hf 0.0000 0.0000 0.0000
Cu1 Cu 0.0000 0.0000 0.5000
```

=====

Energies relative to the most stable structure, in kJ/mol of atoms: entry i 0.0; entry ii 43.5.